Li2FeNi5: relaxed, PBE.

The structure belongs to space group I4/mmm (No. 139); the cell edges are 3.580, 3.580 and 14.299 Å and the angles 90.00°, 90.00° and 90.00°. The inequivalent atoms are Li at (0.000, 0.000, 0.249), Fe at (0.000, 0.000, 0.000), Ni at (0.000, 0.000, 0.500) and Ni at (0.000, 0.500, 0.118).

The value obtained for the formation energy is 0.4 meV per atom. Its total energy is -5.149 eV per atom.